Arrangement one

A plane-wave DFT calculation with PBE was carried out for crystalline Cr2BrCl at its relaxed geometry.

Cell: 3.467 3.467 6.919 Å, 90.00 90.00 90.00°
Space group P4/mmm (No. 123)
Symmetry-distinct sites (fractional):
Cr1 0.000 0.000 0.242
Br1 0.500 0.500 0.500
Cl1 0.500 0.500 0.000

Calculated volume = 83 Å³/cell
N(E_F) = 2.46 states/eV/cell
M_tot = 10.0 μB/f.u.

Arrangement two

A plane-wave DFT calculation with PBE was carried out for crystalline Cr2BrCl at its relaxed geometry.

Cell: 3.918 3.688 6.624 Å, 90.00 91.28 90.00°
Space group P2/m (No. 10)
Symmetry-distinct sites (fractional):
Cr1 0.122 0.000 0.272
Br1 0.500 0.500 0.500
Cl1 0.000 0.500 0.000

Calculated volume = 96 Å³/cell
N(E_F) = 1.21 states/eV/cell
M_tot = 9.9 μB/f.u.

Which structure is the most stable? The one labeled arrangement two.

Arrangement one

A plane-wave DFT calculation with PBE was carried out for crystalline Cr3BrCl at its relaxed geometry.

Cell: 4.459 4.459 4.459 Å, 90.00 90.00 90.00°
Space group Pm-3m (No. 221)
Symmetry-distinct sites (fractional):
Cr1 0.000 0.000 0.500
Br1 0.000 0.000 0.000
Cl1 0.500 0.500 0.500

Calculated volume = 89 Å³/cell
N(E_F) = 10.38 states/eV/cell
M_tot = 0.0 μB/f.u.

Arrangement two

A plane-wave DFT calculation with PBE was carried out for crystalline Cr3BrCl at its relaxed geometry.

Cell: 5.069 5.069 5.069 Å, 90.00 90.00 90.00°
Space group Pm-3m (No. 221)
Symmetry-distinct sites (fractional):
Cr1 0.000 0.000 0.500
Br1 0.500 0.500 0.500
Cl1 0.000 0.000 0.000

Calculated volume = 130 Å³/cell
N(E_F) = 1.08 states/eV/cell
M_tot = 15.6 μB/f.u.

Which structure is the most stable? The one labeled arrangement two.

Arrangement one

A plane-wave DFT calculation with PBE was carried out for crystalline Rb2CrBr2Cl2 at its relaxed geometry.

Cell: 4.096 7.068 14.880 Å, 90.00 90.00 90.00°
Space group Immm (No. 71)
Symmetry-distinct sites (fractional):
Rb1 0.000 0.000 0.143
Cr1 0.000 0.500 0.000
Br1 0.000 0.500 0.171
Cl1 0.000 0.241 0.500

Calculated volume = 431 Å³/cell
N(E_F) = 5.96 states/eV/cell
M_tot = 4.0 μB/f.u.

Arrangement two

A plane-wave DFT calculation with PBE was carried out for crystalline Rb2CrBr2Cl2 at its relaxed geometry.

Cell: 16.845 7.293 7.289 Å, 90.00 90.00 90.00°
Space group Cmce (No. 64)
Symmetry-distinct sites (fractional):
Rb1 0.135 0.000 0.000
Cr1 0.000 0.000 0.500
Br1 0.155 0.000 0.500
Cl1 0.000 0.235 0.265

Calculated volume = 895 Å³/cell
N(E_F) = 0.45 states/eV/cell
M_tot = 4.0 μB/f.u.

Which structure is the most stable? The one labeled arrangement two.

Arrangement one

A plane-wave DFT calculation with PBE was carried out for crystalline CsBrCl at its relaxed geometry.

Cell: 4.913 4.913 10.750 Å, 90.00 90.00 90.00°
Space group I4mm (No. 107)
Symmetry-distinct sites (fractional):
Cs1 0.000 0.000 0.000
Br1 0.000 0.000 0.358
Cl1 0.000 0.000 0.613

Calculated volume = 260 Å³/cell
M_tot = 1.0 μB/f.u.

Arrangement two

A plane-wave DFT calculation with PBE was carried out for crystalline CsBrCl at its relaxed geometry.

Cell: 22.483 4.914 4.906 Å, 90.00 100.23 90.00°
Space group C2/m (No. 12)
Symmetry-distinct sites (fractional):
Cs1 0.157 0.000 0.178
Br1 0.055 0.500 0.565
Cl1 0.184 0.500 0.701

Calculated volume = 533 Å³/cell
N(E_F) = 0.00 states/eV/cell
M_tot = 0.0 μB/f.u.

Arrangement three

A plane-wave DFT calculation with PBE was carried out for crystalline CsBrCl at its relaxed geometry.

Cell: 19.062 5.428 5.433 Å, 90.00 90.62 90.00°
Space group C2/m (No. 12)
Symmetry-distinct sites (fractional):
Cs1 0.142 0.000 0.246
Br1 0.005 0.500 0.750
Cl1 0.249 0.000 0.750

Calculated volume = 562 Å³/cell
N(E_F) = 10.30 states/eV/cell
M_tot = 0.3 μB/f.u.

Which structure is the most stable? The one labeled arrangement two.

Arrangement one

A plane-wave DFT calculation with PBE was carried out for crystalline Cs2Br2Cl at its relaxed geometry.

Cell: 9.503 9.503 4.788 Å, 90.00 90.00 90.00°
Space group P4/mbm (No. 127)
Symmetry-distinct sites (fractional):
Cs1 0.160 0.340 0.000
Br1 0.147 0.647 0.500
Cl1 0.000 0.000 0.500

Calculated volume = 432 Å³/cell
N(E_F) = 5.59 states/eV/cell
M_tot = 1.1 μB/f.u.

Arrangement two

A plane-wave DFT calculation with PBE was carried out for crystalline Cs2Br2Cl at its relaxed geometry.

Cell: 5.573 19.565 9.159 Å, 90.00 90.00 90.00°
Space group Cmc2_1 (No. 36)
Symmetry-distinct sites (fractional):
Cs1 0.000 0.040 0.000
Cs2 0.000 0.309 0.043
Br1 0.000 0.322 0.632
Br2 0.000 0.455 0.771
Cl1 0.000 0.118 0.669

Calculated volume = 999 Å³/cell
M_tot = 1.0 μB/f.u.

Which structure is the most stable? The one labeled arrangement two.

Arrangement one

A plane-wave DFT calculation with PBE was carried out for crystalline Cs2BrCl2 at its relaxed geometry.

Cell: 9.402 5.468 10.133 Å, 90.00 107.45 90.00°
Space group C2/m (No. 12)
Symmetry-distinct sites (fractional):
Cs1 0.233 0.000 0.207
Br1 0.000 0.500 0.000
Cl1 0.050 0.000 0.633

Calculated volume = 497 Å³/cell
M_tot = 0.8 μB/f.u.

Arrangement two

A plane-wave DFT calculation with PBE was carried out for crystalline Cs2BrCl2 at its relaxed geometry.

Cell: 4.611 4.611 18.831 Å, 90.00 90.00 90.00°
Space group I4/mmm (No. 139)
Symmetry-distinct sites (fractional):
Cs1 0.000 0.000 0.110
Br1 0.000 0.000 0.500
Cl1 0.000 0.500 0.250

Calculated volume = 400 Å³/cell
N(E_F) = 3.37 states/eV/cell
M_tot = 1.0 μB/f.u.

Which structure is the most stable? The one labeled arrangement one.